! Y2SiSb, relaxed, DFT PBE; values from VASP
&SYSTEM
  ibrav = 0, nat = 4, ntyp = 3
/
ATOMIC_SPECIES
Y 88.91 Y.upf
Si 28.09 Si.upf
Sb 121.76 Sb.upf
ATOMIC_POSITIONS crystal
Y 0.000 0.000 0.239
Y 0.000 0.000 0.761
Si 0.500 0.500 0.000
Sb 0.500 0.500 0.500
CELL_PARAMETERS angstrom
3.881 0.000 0.000
0.000 3.881 0.000
0.000 0.000 6.518
! **Formation energy from raw total energies**: -0.62 eV per atom
! **Offset from the most stable computed form**: 201.5 meV per atom
! **SG**: P4/mmm (123)
! **Fermi-level density of states**: 0.96 states/eV per atom
! **Final energy**: -24.9 eV per cell
! **Volume**: 24.544 A^3/atom

! Y2SiSb, relaxed, DFT PBE; values from VASP
&SYSTEM
  ibrav = 0, nat = 12, ntyp = 3
/
ATOMIC_SPECIES
Y 88.91 Y.upf
Si 28.09 Si.upf
Sb 121.76 Sb.upf
ATOMIC_POSITIONS crystal
Y 0.000 0.000 0.244
Y 0.000 0.000 0.756
Y 0.333 0.667 0.423
Y 0.333 0.667 0.910
Y 0.667 0.333 0.090
Y 0.667 0.333 0.577
Si 0.000 0.000 0.500
Si 0.333 0.667 0.167
Si 0.667 0.333 0.833
Sb 0.000 0.000 0.000
Sb 0.333 0.667 0.667
Sb 0.667 0.333 0.333
CELL_PARAMETERS angstrom
4.167 0.000 0.000
-2.084 3.609 0.000
0.000 0.000 21.676
! **Formation energy from raw total energies**: -0.81 eV per atom
! **Offset from the most stable computed form**: 9.3 meV per atom
! **SG**: R-3m (166)
! **Fermi-level density of states**: 0.58 states/eV per atom
! **Final energy**: -77.1 eV per cell
! **Volume**: 27.173 A^3/atom

! Y5Si2Sb, relaxed, DFT PBE; values from VASP
&SYSTEM
  ibrav = 0, nat = 16, ntyp = 3
/
ATOMIC_SPECIES
Y 88.91 Y.upf
Si 28.09 Si.upf
Sb 121.76 Sb.upf
ATOMIC_POSITIONS crystal
Y 0.000 0.000 0.000
Y 0.020 0.520 0.820
Y 0.200 0.020 0.500
Y 0.300 0.800 0.820
Y 0.480 0.300 0.500
Y 0.500 0.500 0.000
Y 0.520 0.700 0.500
Y 0.700 0.200 0.180
Y 0.800 0.980 0.500
Y 0.980 0.480 0.180
Si 0.140 0.360 0.500
Si 0.360 0.860 0.220
Si 0.640 0.140 0.780
Si 0.860 0.640 0.500
Sb 0.250 0.250 0.000
Sb 0.750 0.750 0.000
CELL_PARAMETERS angstrom
-3.882 3.882 6.812
3.882 -3.882 6.812
3.882 3.882 -6.812
! **Formation energy from raw total energies**: -0.78 eV per atom
! **SG**: I4/mcm (140)
! **Fermi-level density of states**: 1.11 states/eV per atom
! **Final energy**: -107.0 eV per cell
! **Volume**: 25.668 A^3/atom

! Y2SiSb, relaxed, DFT PBE; values from VASP
&SYSTEM
  ibrav = 0, nat = 16, ntyp = 3
/
ATOMIC_SPECIES
Y 88.91 Y.upf
Si 28.09 Si.upf
Sb 121.76 Sb.upf
ATOMIC_POSITIONS crystal
Y 0.227 0.750 0.125
Y 0.250 0.227 0.875
Y 0.250 0.273 0.375
Y 0.273 0.750 0.625
Y 0.727 0.250 0.625
Y 0.750 0.727 0.375
Y 0.750 0.773 0.875
Y 0.773 0.250 0.125
Si 0.000 0.000 0.000
Si 0.000 0.500 0.250
Si 0.500 0.000 0.750
Si 0.500 0.500 0.500
Sb 0.000 0.000 0.500
Sb 0.000 0.500 0.750
Sb 0.500 0.000 0.250
Sb 0.500 0.500 0.000
CELL_PARAMETERS angstrom
7.910 0.000 0.000
0.000 7.910 0.000
0.000 0.000 6.857
! **Formation energy from raw total energies**: -0.58 eV per atom
! **Offset from the most stable computed form**: 241.9 meV per atom
! **SG**: I-42d (122)
! **Fermi-level density of states**: 0.30 states/eV per atom
! **Final energy**: -99.1 eV per cell
! **Volume**: 26.811 A^3/atom

! Y2SiSb, relaxed, DFT PBE; values from VASP
&SYSTEM
  ibrav = 0, nat = 8, ntyp = 3
/
ATOMIC_SPECIES
Y 88.91 Y.upf
Si 28.09 Si.upf
Sb 121.76 Sb.upf
ATOMIC_POSITIONS crystal
Y 0.250 0.250 0.000
Y 0.250 0.750 0.000
Y 0.750 0.250 0.000
Y 0.750 0.750 0.000
Si 0.000 0.000 0.500
Si 0.500 0.500 0.500
Sb 0.000 0.500 0.500
Sb 0.500 0.000 0.500
CELL_PARAMETERS angstrom
7.113 0.000 0.000
0.000 8.039 0.000
-0.792 0.000 3.545
! **Formation energy from raw total energies**: -0.63 eV per atom
! **Offset from the most stable computed form**: 193.0 meV per atom
! **SG**: C2/m (12)
! **Fermi-level density of states**: 0.63 states/eV per atom
! **Final energy**: -50.0 eV per cell
! **Volume**: 25.337 A^3/atom

! YSiSb, relaxed, DFT PBE; values from VASP
&SYSTEM
  ibrav = 0, nat = 12, ntyp = 3
/
ATOMIC_SPECIES
Y 88.91 Y.upf
Si 28.09 Si.upf
Sb 121.76 Sb.upf
ATOMIC_POSITIONS crystal
Y 0.000 0.097 0.250
Y 0.000 0.903 0.750
Y 0.500 0.403 0.750
Y 0.500 0.597 0.250
Si 0.000 0.456 0.250
Si 0.000 0.544 0.750
Si 0.500 0.044 0.750
Si 0.500 0.956 0.250
Sb 0.000 0.253 0.750
Sb 0.000 0.747 0.250
Sb 0.500 0.247 0.250
Sb 0.500 0.753 0.750
CELL_PARAMETERS angstrom
4.330 0.000 0.000
0.000 16.334 0.000
0.000 0.000 4.008
! **Formation energy from raw total energies**: -0.65 eV per atom
! **Offset from the most stable computed form**: 0.0 meV per atom
! **SG**: Cmcm (63)
! **Fermi-level density of states**: 0.35 states/eV per atom
! **Final energy**: -71.8 eV per cell
! **Volume**: 23.625 A^3/atom